# 1
Compound: CrFeIr2
Source: the Alexandria database
Functional: PBE-GGA
Structure: optimized geometry

Calculated values
- E_form (eV/atom) = -0.09
- electronic total energy (eV/atom) = -9.041
- volume (Å³/atom) = 13.473

```
data_CrFeIr2
_chemical_formula_sum 'Cr1 Fe1 Ir2'
_cell_length_a 4.568
_cell_length_b 4.568
_cell_length_c 4.649
_cell_angle_alpha 79.82
_cell_angle_beta 79.82
_cell_angle_gamma 34.43
_symmetry_space_group_name_H-M 'P 1'
_symmetry_Int_Tables_number 1
_symmetry_space_group_name_Hall 'P 1'
loop_
_atom_site_label
_atom_site_type_symbol
_atom_site_fract_x
_atom_site_fract_y
_atom_site_fract_z
Fe1 Fe 0.750 0.750 0.750
Ir1 Ir 0.502 0.502 0.500
Ir2 Ir 0.998 0.998 0.000
Cr1 Cr 0.250 0.250 0.250
```



# 2
Compound: Cr2FeIr4
Source: the Alexandria database
Functional: PBE-GGA
Structure: optimized geometry

Calculated values
- E_form (eV/atom) = 0.08
- electronic total energy (eV/atom) = -8.946
- volume (Å³/atom) = 14.245
- excess energy over the best structure of this formula in the dataset (eV/atom) = 0.000

```
data_Cr2FeIr4
_chemical_formula_sum 'Cr4 Fe2 Ir8'
_cell_length_a 6.334
_cell_length_b 7.376
_cell_length_c 6.335
_cell_angle_alpha 135.15
_cell_angle_beta 104.40
_cell_angle_gamma 86.34
_symmetry_space_group_name_H-M 'P 1'
_symmetry_Int_Tables_number 1
_symmetry_space_group_name_Hall 'P 1'
loop_
_atom_site_label
_atom_site_type_symbol
_atom_site_fract_x
_atom_site_fract_y
_atom_site_fract_z
Cr1 Cr 0.578 0.439 0.862
Ir1 Ir 0.344 0.069 0.725
Cr2 Cr 0.560 0.925 0.365
Ir2 Ir 0.840 0.069 0.230
Ir3 Ir 0.933 0.237 0.803
Ir4 Ir 0.842 0.577 0.735
Ir5 Ir 0.434 0.237 0.305
Ir6 Ir 0.920 0.743 0.318
Cr3 Cr 0.695 0.380 0.183
Fe1 Fe 0.063 0.934 0.871
Cr4 Cr 0.197 0.381 0.686
Ir7 Ir 0.425 0.743 0.823
Fe2 Fe 0.075 0.438 0.363
Ir8 Ir 0.344 0.576 0.232
```



# 3
Compound: CrFeIr2
Source: the Alexandria database
Functional: PBE-GGA
Structure: optimized geometry

Calculated values
- E_form (eV/atom) = -0.15
- electronic total energy (eV/atom) = -9.101
- volume (Å³/atom) = 13.272

```
data_CrFeIr2
_chemical_formula_sum 'Cr1 Fe1 Ir2'
_cell_length_a 2.696
_cell_length_b 3.636
_cell_length_c 5.417
_cell_angle_alpha 90.00
_cell_angle_beta 90.00
_cell_angle_gamma 90.00
_symmetry_space_group_name_H-M 'P 1'
_symmetry_Int_Tables_number 1
_symmetry_space_group_name_Hall 'P 1'
loop_
_atom_site_label
_atom_site_type_symbol
_atom_site_fract_x
_atom_site_fract_y
_atom_site_fract_z
Ir1 Ir 0.000 0.000 0.002
Cr1 Cr 0.500 0.500 0.250
Fe1 Fe 0.500 0.500 0.750
Ir2 Ir 0.000 0.000 0.498
```



# 4
Compound: CrFeIr
Source: the Alexandria database
Functional: PBE-GGA
Structure: optimized geometry

Calculated values
- E_form (eV/atom) = 0.34
- electronic total energy (eV/atom) = -8.644
- volume (Å³/atom) = 14.291
- excess energy over the best structure of this formula in the dataset (eV/atom) = 0.411

```
data_CrFeIr
_chemical_formula_sum 'Cr1 Fe1 Ir1'
_cell_length_a 3.929
_cell_length_b 3.929
_cell_length_c 3.929
_cell_angle_alpha 60.00
_cell_angle_beta 60.00
_cell_angle_gamma 60.00
_symmetry_space_group_name_H-M 'P 1'
_symmetry_Int_Tables_number 1
_symmetry_space_group_name_Hall 'P 1'
loop_
_atom_site_label
_atom_site_type_symbol
_atom_site_fract_x
_atom_site_fract_y
_atom_site_fract_z
Ir1 Ir 0.500 0.500 0.500
Fe1 Fe 0.000 0.000 0.000
Cr1 Cr 0.750 0.750 0.750
```



# 5
Compound: Cr3Fe12Ir5
Source: the Alexandria database
Functional: PBE-GGA
Structure: optimized geometry

Calculated values
- E_form (eV/atom) = 0.88
- electronic total energy (eV/atom) = -7.852
- volume (Å³/atom) = 15.630

```
data_Cr3Fe12Ir5
_chemical_formula_sum 'Cr12 Fe48 Ir20'
_cell_length_a 11.755
_cell_length_b 11.755
_cell_length_c 11.755
_cell_angle_alpha 109.47
_cell_angle_beta 109.47
_cell_angle_gamma 109.47
_symmetry_space_group_name_H-M 'P 1'
_symmetry_Int_Tables_number 1
_symmetry_space_group_name_Hall 'P 1'
loop_
_atom_site_label
_atom_site_type_symbol
_atom_site_fract_x
_atom_site_fract_y
_atom_site_fract_z
Fe1 Fe 0.665 0.238 0.594
Ir1 Ir 0.000 0.500 0.000
Fe2 Fe 0.738 0.143 0.073
Ir2 Ir 0.625 0.750 0.875
Fe3 Fe 0.335 0.762 0.406
Fe4 Fe 0.930 0.094 0.857
Ir3 Ir 0.500 0.000 0.000
Fe5 Fe 0.357 0.927 0.762
Ir4 Ir 0.500 0.500 0.000
Fe6 Fe 0.143 0.406 0.070
Cr1 Cr 0.750 0.375 0.125
Fe7 Fe 0.070 0.165 0.427
Fe8 Fe 0.643 0.073 0.238
Fe9 Fe 0.094 0.165 0.238
Fe10 Fe 0.262 0.857 0.927
Fe11 Fe 0.762 0.427 0.357
Fe12 Fe 0.594 0.857 0.430
Ir5 Ir 0.250 0.875 0.125
Fe13 Fe 0.430 0.073 0.335
Ir6 Ir 0.750 0.125 0.875
Fe14 Fe 0.738 0.594 0.165
Ir7 Ir 0.000 0.000 0.500
Ir8 Ir 0.750 0.625 0.375
Fe15 Fe 0.238 0.665 0.094
Cr2 Cr 0.125 0.250 0.875
Fe16 Fe 0.430 0.357 0.594
Cr3 Cr 0.875 0.125 0.250
Fe17 Fe 0.643 0.570 0.906
Fe18 Fe 0.427 0.762 0.857
Fe19 Fe 0.570 0.643 0.406
Ir9 Ir 0.375 0.250 0.125
Fe20 Fe 0.357 0.430 0.094
Ir10 Ir 0.875 0.250 0.625
Ir11 Ir 0.500 0.000 0.500
Fe21 Fe 0.143 0.738 0.573
Fe22 Fe 0.262 0.406 0.835
Fe23 Fe 0.570 0.927 0.665
Cr4 Cr 0.625 0.250 0.375
Fe24 Fe 0.406 0.143 0.570
Cr5 Cr 0.250 0.125 0.375
Fe25 Fe 0.165 0.094 0.738
Cr6 Cr 0.750 0.875 0.625
Fe26 Fe 0.927 0.357 0.262
Cr7 Cr 0.125 0.875 0.750
Ir12 Ir 0.875 0.625 0.750
Ir13 Ir 0.000 0.000 0.000
Cr8 Cr 0.375 0.750 0.625
Fe27 Fe 0.930 0.835 0.573
Fe28 Fe 0.665 0.427 0.570
Cr9 Cr 0.625 0.375 0.750
Fe29 Fe 0.165 0.070 0.927
Fe30 Fe 0.762 0.335 0.906
Fe31 Fe 0.073 0.643 0.738
Fe32 Fe 0.573 0.238 0.143
Fe33 Fe 0.857 0.262 0.427
Fe34 Fe 0.835 0.930 0.073
Ir14 Ir 0.500 0.500 0.500
Fe35 Fe 0.070 0.906 0.143
Fe36 Fe 0.906 0.070 0.643
Cr10 Cr 0.875 0.750 0.125
Ir15 Ir 0.250 0.375 0.625
Fe37 Fe 0.427 0.665 0.070
Fe38 Fe 0.335 0.573 0.430
Cr11 Cr 0.250 0.625 0.875
Fe39 Fe 0.094 0.930 0.357
Ir16 Ir 0.125 0.750 0.375
Fe40 Fe 0.573 0.335 0.930
Fe41 Fe 0.594 0.738 0.665
Cr12 Cr 0.375 0.625 0.250
Ir17 Ir 0.375 0.125 0.750
Ir18 Ir 0.000 0.500 0.500
Fe42 Fe 0.857 0.594 0.930
Ir19 Ir 0.125 0.375 0.250
Fe43 Fe 0.906 0.835 0.762
Ir20 Ir 0.625 0.875 0.250
Fe44 Fe 0.238 0.573 0.643
Fe45 Fe 0.073 0.430 0.835
Fe46 Fe 0.927 0.570 0.165
Fe47 Fe 0.835 0.906 0.262
Fe48 Fe 0.406 0.262 0.335
```



# 6
Compound: Cr2FeIr
Source: the Alexandria database
Functional: PBE-GGA
Structure: optimized geometry

Calculated values
- E_form (eV/atom) = 0.56
- electronic total energy (eV/atom) = -8.581
- volume (Å³/atom) = 13.473
- excess energy over the best structure of this formula in the dataset (eV/atom) = 0.615

```
data_Cr2FeIr
_chemical_formula_sum 'Cr4 Fe2 Ir2'
_cell_length_a 3.606
_cell_length_b 3.606
_cell_length_c 8.674
_cell_angle_alpha 78.00
_cell_angle_beta 78.00
_cell_angle_gamma 90.00
_symmetry_space_group_name_H-M 'P 1'
_symmetry_Int_Tables_number 1
_symmetry_space_group_name_Hall 'P 1'
loop_
_atom_site_label
_atom_site_type_symbol
_atom_site_fract_x
_atom_site_fract_y
_atom_site_fract_z
Cr1 Cr 0.586 0.125 0.250
Ir1 Ir 0.000 0.000 0.000
Cr2 Cr 0.875 0.836 0.750
Fe1 Fe 0.500 0.500 0.000
Cr3 Cr 0.375 0.414 0.750
Ir2 Ir 0.750 0.250 0.500
Cr4 Cr 0.164 0.625 0.250
Fe2 Fe 0.250 0.750 0.500
```



# 7
Compound: CrFeIr
Source: the Alexandria database
Functional: PBE-GGA
Structure: optimized geometry

Calculated values
- E_form (eV/atom) = 0.09
- electronic total energy (eV/atom) = -8.889
- volume (Å³/atom) = 13.255
- excess energy over the best structure of this formula in the dataset (eV/atom) = 0.166

```
data_CrFeIr
_chemical_formula_sum 'Cr2 Fe2 Ir2'
_cell_length_a 2.700
_cell_length_b 4.537
_cell_length_c 6.860
_cell_angle_alpha 97.13
_cell_angle_beta 90.00
_cell_angle_gamma 107.31
_symmetry_space_group_name_H-M 'P 1'
_symmetry_Int_Tables_number 1
_symmetry_space_group_name_Hall 'P 1'
loop_
_atom_site_label
_atom_site_type_symbol
_atom_site_fract_x
_atom_site_fract_y
_atom_site_fract_z
Cr1 Cr 0.351 0.702 0.888
Ir1 Ir 0.606 0.211 0.749
Fe1 Fe 0.867 0.734 0.572
Ir2 Ir 0.394 0.789 0.251
Fe2 Fe 0.133 0.266 0.428
Cr2 Cr 0.649 0.298 0.112
```



# 8
Compound: CrFeIr2
Source: the Alexandria database
Functional: PBE-GGA
Structure: optimized geometry

Calculated values
- E_form (eV/atom) = -0.09
- electronic total energy (eV/atom) = -9.043
- volume (Å³/atom) = 13.001

```
data_CrFeIr2
_chemical_formula_sum 'Cr1 Fe1 Ir2'
_cell_length_a 4.005
_cell_length_b 2.679
_cell_length_c 5.029
_cell_angle_alpha 74.57
_cell_angle_beta 90.00
_cell_angle_gamma 90.00
_symmetry_space_group_name_H-M 'P 1'
_symmetry_Int_Tables_number 1
_symmetry_space_group_name_Hall 'P 1'
loop_
_atom_site_label
_atom_site_type_symbol
_atom_site_fract_x
_atom_site_fract_y
_atom_site_fract_z
Ir1 Ir 0.500 0.294 0.286
Ir2 Ir 0.000 0.957 0.961
Fe1 Fe 0.500 0.562 0.751
Cr1 Cr 0.000 0.687 0.502
```



# 9
Compound: Cr2FeIr
Source: the Alexandria database
Functional: PBE-GGA
Structure: optimized geometry

Calculated values
- E_form (eV/atom) = 0.04
- electronic total energy (eV/atom) = -9.098
- volume (Å³/atom) = 12.442
- excess energy over the best structure of this formula in the dataset (eV/atom) = 0.098

```
data_Cr2FeIr
_chemical_formula_sum 'Cr2 Fe1 Ir1'
_cell_length_a 2.904
_cell_length_b 2.904
_cell_length_c 5.902
_cell_angle_alpha 90.00
_cell_angle_beta 90.00
_cell_angle_gamma 90.00
_symmetry_space_group_name_H-M 'P 1'
_symmetry_Int_Tables_number 1
_symmetry_space_group_name_Hall 'P 1'
loop_
_atom_site_label
_atom_site_type_symbol
_atom_site_fract_x
_atom_site_fract_y
_atom_site_fract_z
Cr1 Cr 0.000 0.000 0.028
Cr2 Cr 0.500 0.500 0.246
Fe1 Fe 0.000 0.000 0.477
Ir1 Ir 0.500 0.500 0.750
```



# 10
Compound: Cr2FeIr
Source: the Alexandria database
Functional: PBE-GGA
Structure: optimized geometry

Calculated values
- E_form (eV/atom) = 0.08
- electronic total energy (eV/atom) = -9.058
- volume (Å³/atom) = 12.434
- excess energy over the best structure of this formula in the dataset (eV/atom) = 0.138

```
data_Cr2FeIr
_chemical_formula_sum 'Cr2 Fe1 Ir1'
_cell_length_a 2.841
_cell_length_b 2.841
_cell_length_c 6.162
_cell_angle_alpha 90.00
_cell_angle_beta 90.00
_cell_angle_gamma 90.00
_symmetry_space_group_name_H-M 'P 1'
_symmetry_Int_Tables_number 1
_symmetry_space_group_name_Hall 'P 1'
loop_
_atom_site_label
_atom_site_type_symbol
_atom_site_fract_x
_atom_site_fract_y
_atom_site_fract_z
Fe1 Fe 0.500 0.500 0.250
Ir1 Ir 0.500 0.500 0.750
Cr1 Cr 0.000 0.000 0.475
Cr2 Cr 0.000 0.000 0.025
```



# 11
Compound: Cr2FeIr
Source: the Alexandria database
Functional: PBE-GGA
Structure: optimized geometry

Calculated values
- E_form (eV/atom) = 0.15
- electronic total energy (eV/atom) = -8.994
- volume (Å³/atom) = 12.660
- excess energy over the best structure of this formula in the dataset (eV/atom) = 0.201

```
data_Cr2FeIr
_chemical_formula_sum 'Cr2 Fe1 Ir1'
_cell_length_a 2.592
_cell_length_b 2.592
_cell_length_c 8.157
_cell_angle_alpha 90.00
_cell_angle_beta 90.00
_cell_angle_gamma 112.45
_symmetry_space_group_name_H-M 'P 1'
_symmetry_Int_Tables_number 1
_symmetry_space_group_name_Hall 'P 1'
loop_
_atom_site_label
_atom_site_type_symbol
_atom_site_fract_x
_atom_site_fract_y
_atom_site_fract_z
Cr1 Cr 0.000 0.000 0.017
Cr2 Cr 0.500 0.500 0.244
Fe1 Fe 0.000 0.000 0.486
Ir1 Ir 0.500 0.500 0.753
```



# 12
Compound: CrFeIr
Source: the Alexandria database
Functional: PBE-GGA
Structure: optimized geometry

Calculated values
- E_form (eV/atom) = 0.27
- electronic total energy (eV/atom) = -8.714
- volume (Å³/atom) = 13.458
- excess energy over the best structure of this formula in the dataset (eV/atom) = 0.341

```
data_CrFeIr
_chemical_formula_sum 'Cr2 Fe2 Ir2'
_cell_length_a 6.698
_cell_length_b 6.698
_cell_length_c 6.698
_cell_angle_alpha 33.32
_cell_angle_beta 33.32
_cell_angle_gamma 33.32
_symmetry_space_group_name_H-M 'P 1'
_symmetry_Int_Tables_number 1
_symmetry_space_group_name_Hall 'P 1'
loop_
_atom_site_label
_atom_site_type_symbol
_atom_site_fract_x
_atom_site_fract_y
_atom_site_fract_z
Fe1 Fe 0.662 0.662 0.662
Cr1 Cr 0.931 0.931 0.931
Fe2 Fe 0.338 0.338 0.338
Ir1 Ir 0.208 0.208 0.208
Ir2 Ir 0.792 0.792 0.792
Cr2 Cr 0.069 0.069 0.069
```



Q: What is the E_form in the tenth record?
A: 0.08 eV/atom



Q: Number 11 is which compound?
A: Cr2FeIr